MgCd4Ag2 after structural relaxation, computed with PBE.

## Properties
- crystal system = tetragonal
- energy of formation (eV/atom) = 0.00
- calculated volume (Å³ per cell) = 308.6

Unit cell a=6.505 b=6.505 c=7.295 alpha=90.00 beta=90.00 gamma=90.00
Space group I4/mmm (No. 139)
Unique sites:
Mg 0.000 0.000 0.000 x2
Cd 0.250 0.250 0.250 x8
Ag 0.000 0.500 0.000 x4